1.
Mg3Tl3In | GGA-PBE | optimized geometry

```
Mg3Tl3In
1.0
8.056 0.000 0.000
0.000 8.056 0.000
0.000 0.000 8.056
Tl Mg In
6 6 2
direct
0.250 0.000 0.500
0.000 0.500 0.250
0.500 0.750 0.000
0.750 0.000 0.500
0.000 0.500 0.750
0.500 0.250 0.000
0.000 0.250 0.500
0.000 0.750 0.500
0.500 0.000 0.750
0.750 0.500 0.000
0.500 0.000 0.250
0.250 0.500 0.000
0.500 0.500 0.500
0.000 0.000 0.000
```

## Properties
For the density of states at the Fermi level, the calculation gives 6.76 states/eV/f.u. The formation enthalpy at 0 K comes out at 434 meV per atom. As for the space-group type: Pm-3n (223).



2.
MgTlIn | GGA-PBE | optimized geometry

```
MgTlIn
1.0
3.409 0.000 -0.077
0.000 3.436 0.000
7.097 0.001 13.318
Mg Tl In
2 2 2
direct
0.996 0.128 0.607
0.598 0.128 0.306
0.419 0.628 0.146
0.318 0.128 0.947
0.798 0.628 0.456
0.192 0.628 0.760
```

## Properties
For the density of states at the Fermi level, the calculation gives 1.29 states/eV/f.u. The formation enthalpy at 0 K comes out at -10 meV per atom. As for the space-group type: Pm (6).



3.
MgTl5In2 | GGA-PBE | optimized geometry

```
MgTl5In2
1.0
-1.225 3.876 -1.907
-6.096 -0.151 3.610
6.187 7.244 10.752
Mg Tl In
2 10 4
direct
0.000 0.000 0.500
0.000 0.500 0.000
0.000 0.000 0.000
0.000 0.500 0.500
0.000 0.505 0.750
0.000 0.495 0.250
0.000 0.995 0.250
0.000 0.005 0.750
0.500 0.264 0.880
0.500 0.736 0.120
0.500 0.236 0.380
0.500 0.764 0.620
0.500 0.246 0.622
0.500 0.754 0.378
0.500 0.254 0.122
0.500 0.746 0.878
```

## Properties
For the density of states at the Fermi level, the calculation gives 3.67 states/eV/f.u. The formation enthalpy at 0 K comes out at 24 meV per atom. As for the space-group type: Pbam (55).